1.
# LaCoGe3, single point on PBEsol structure, DFT SCAN
# - Magnetic moment: 0.00 μB/atom
# - N(E_F): 3.49 states/eV/cell
# - Energy of formation from the pure elements: -0.651 eV per atom
data_LaCoGe3
_symmetry_space_group_name_H-M 'I 4 m m'
_symmetry_Int_Tables_number 107
_symmetry_space_group_name_Hall 'I 4 -2'
_cell_length_a 4.299
_cell_length_b 4.299
_cell_length_c 9.770
_cell_angle_alpha 90.00
_cell_angle_beta 90.00
_cell_angle_gamma 90.00
loop_
_atom_site_label
_atom_site_type_symbol
_atom_site_fract_x
_atom_site_fract_y
_atom_site_fract_z
_atom_site_occupancy
La1 La 0.000 0.000 0.000 1
Co1 Co 0.000 0.000 0.664 1
Ge1 Ge 0.000 0.000 0.431 1
Ge2 Ge 0.000 0.500 0.257 1



2.
# LaGa3Pt, single point on PBEsol structure, DFT SCAN
# - Magnetic moment: 0.00 μB/atom
# - N(E_F): 4.21 states/eV/cell
# - Energy of formation from the pure elements: -0.893 eV per atom
data_LaGa3Pt
_symmetry_space_group_name_H-M 'I -4 m 2'
_symmetry_Int_Tables_number 119
_symmetry_space_group_name_Hall 'I -4 -2'
_cell_length_a 4.225
_cell_length_b 4.225
_cell_length_c 10.670
_cell_angle_alpha 90.00
_cell_angle_beta 90.00
_cell_angle_gamma 90.00
loop_
_atom_site_label
_atom_site_type_symbol
_atom_site_fract_x
_atom_site_fract_y
_atom_site_fract_z
_atom_site_occupancy
La1 La 0.000 0.000 0.000 1
Ga1 Ga 0.000 0.000 0.383 1
Ga2 Ga 0.000 0.500 0.750 1
Pt1 Pt 0.000 0.500 0.250 1



3.
# BaLi3Os, single point on PBEsol structure, DFT SCAN
# - Magnetic moment: 0.00 μB/atom
# - N(E_F): 3.70 states/eV/cell
# - Energy of formation from the pure elements: 0.612 eV per atom
data_BaLi3Os
_symmetry_space_group_name_H-M 'P m -3 m'
_symmetry_Int_Tables_number 221
_symmetry_space_group_name_Hall '-P 4 2 3'
_cell_length_a 4.836
_cell_length_b 4.836
_cell_length_c 4.836
_cell_angle_alpha 90.00
_cell_angle_beta 90.00
_cell_angle_gamma 90.00
loop_
_atom_site_label
_atom_site_type_symbol
_atom_site_fract_x
_atom_site_fract_y
_atom_site_fract_z
_atom_site_occupancy
Ba1 Ba 0.000 0.000 0.000 1
Li1 Li 0.000 0.500 0.500 1
Os1 Os 0.500 0.500 0.500 1